[1]
Entry from Alexandria via LeMat-Bulk: a geometry-optimized PrZn3 structure (GGA-PBEsol).

The calculation puts the density of states at the Fermi level at 12.8 states/eV per cell. For the formation energy, the calculation gives -0.333 eV per atom.

It has space group Pnma (No. 62), with a = 6.511 Å, b = 4.522 Å, c = 10.229 Å, α = 90.00°, β = 90.00° and γ = 90.00°. The asymmetric unit holds Pr at (0.246, 0.250, 0.152), Zn at (0.055, 0.750, 0.373), Zn at (0.063, 0.250, 0.867) and Zn at (0.245, 0.750, 0.952).



[2]
Entry from Alexandria via LeMat-Bulk: a geometry-optimized BeCrNi2 structure (GGA-PBEsol).

The calculation puts the density of states at the Fermi level at 3.1 states/eV per cell. For the formation energy, the calculation gives -0.224 eV per atom.

It has space group P4/mmm (No. 123), with a = 2.458 Å, b = 2.458 Å, c = 6.365 Å, α = 90.00°, β = 90.00° and γ = 90.00°. The asymmetric unit holds Be at (0.000, 0.000, 0.000), Cr at (0.000, 0.000, 0.500) and Ni at (0.500, 0.500, 0.218).



[3]
Entry from Alexandria via LeMat-Bulk: a geometry-optimized NbCdSeBr2 structure (GGA-PBEsol).

The uncorrected formation energy is 613 meV per atom. The calculation puts the density of states at the Fermi level at 6.1 states/eV per cell.

It has space group P4/mmm (No. 123), with a = 5.167 Å, b = 5.167 Å, c = 5.265 Å, α = 90.00°, β = 90.00° and γ = 90.00°. The asymmetric unit holds Nb at (0.000, 0.000, 0.000), Cd at (0.500, 0.500, 0.500), Se at (0.500, 0.500, 0.000) and Br at (0.000, 0.500, 0.500).



[4]
Entry from Alexandria via LeMat-Bulk: a geometry-optimized RbPbO2F structure (GGA-PBEsol).

The uncorrected formation energy is -1435 meV per atom. The calculation puts the density of states at the Fermi level at 1.6 states/eV per cell.

It has space group P4/mmm (No. 123), with a = 4.231 Å, b = 4.231 Å, c = 4.626 Å, α = 90.00°, β = 90.00° and γ = 90.00°. The asymmetric unit holds Rb at (0.000, 0.000, 0.000), Pb at (0.500, 0.500, 0.500), O at (0.000, 0.500, 0.500) and F at (0.500, 0.500, 0.000).



[5]
Entry from Alexandria via LeMat-Bulk: a geometry-optimized SrTl2IrCl structure (GGA-PBEsol).

The uncorrected formation energy is 950 meV per atom. The calculation puts the density of states at the Fermi level at 1.4 states/eV per cell.

It has space group P4/mmm (No. 123), with a = 6.286 Å, b = 6.286 Å, c = 4.888 Å, α = 90.00°, β = 90.00° and γ = 90.00°. The asymmetric unit holds Sr at (0.000, 0.000, 0.000), Tl at (0.000, 0.500, 0.000), Ir at (0.000, 0.000, 0.500) and Cl at (0.500, 0.500, 0.500).



[6]
Entry from Alexandria via LeMat-Bulk: a geometry-optimized P2AuICl structure (GGA-PBEsol).

The uncorrected formation energy is 670 meV per atom. The calculation puts the density of states at the Fermi level at 4.0 states/eV per cell.

It has space group P4/mmm (No. 123), with a = 4.835 Å, b = 4.835 Å, c = 4.848 Å, α = 90.00°, β = 90.00° and γ = 90.00°. The asymmetric unit holds P at (0.000, 0.500, 0.000), Au at (0.000, 0.000, 0.000), I at (0.500, 0.500, 0.500) and Cl at (0.000, 0.000, 0.500).



[7]
Entry from Alexandria via LeMat-Bulk: a geometry-optimized InSb2Se structure (GGA-PBEsol).

The uncorrected formation energy is -128 meV per atom. The calculation puts the density of states at the Fermi level at 3.5 states/eV per cell.

It has space group I4/mmm (No. 139), with a = 5.918 Å, b = 5.918 Å, c = 6.011 Å, α = 90.00°, β = 90.00° and γ = 90.00°. The asymmetric unit holds In at (0.000, 0.000, 0.000), Sb at (0.000, 0.500, 0.000) and Se at (0.000, 0.000, 0.500).



[8]
Entry from Alexandria via LeMat-Bulk: a geometry-optimized LiSmS2 structure (GGA-PBEsol).

The uncorrected formation energy is -1766 meV per atom. The calculation puts the density of states at the Fermi level at 0.3 states/eV per cell.

It has space group P4/mmm (No. 123), with a = 3.942 Å, b = 3.942 Å, c = 5.387 Å, α = 90.00°, β = 90.00° and γ = 90.00°. The asymmetric unit holds Li at (0.000, 0.000, 0.000), Sm at (0.500, 0.500, 0.500), S at (0.000, 0.000, 0.500) and S at (0.500, 0.500, 0.000).



[9]
Entry from Alexandria via LeMat-Bulk: a geometry-optimized LiAl structure (GGA-PBEsol).

The calculation puts the density of states at the Fermi level at 2.4 states/eV per cell. For the formation energy, the calculation gives -0.170 eV per atom.

It has space group Fd-3m (No. 227, origin choice 2), with a = 6.316 Å, b = 6.316 Å, c = 6.316 Å, α = 90.00°, β = 90.00° and γ = 90.00°. The asymmetric unit holds Li at (0.125, 0.125, 0.125) and Al at (0.125, 0.125, 0.625).



[10]
Entry from Alexandria via LeMat-Bulk: a geometry-optimized Li2CdPb structure (GGA-PBEsol).

The calculation puts the density of states at the Fermi level at 1.2 states/eV per cell. For the formation energy, the calculation gives -0.202 eV per atom.

It has space group P4mm (No. 99), with a = 3.592 Å, b = 3.592 Å, c = 6.367 Å, α = 90.00°, β = 90.00° and γ = 90.00°. The asymmetric unit holds Li at (0.000, 0.000, 0.000), Li at (0.500, 0.500, 0.252), Cd at (0.500, 0.500, 0.795) and Pb at (0.000, 0.000, 0.492).



[11]
Entry from Alexandria via LeMat-Bulk: a geometry-optimized NbN2O2 structure (GGA-PBEsol).

The uncorrected formation energy is 909 meV per atom. The calculation puts the density of states at the Fermi level at 1.2 states/eV per cell.

It has space group P4/mmm (No. 123), with a = 3.511 Å, b = 3.511 Å, c = 3.405 Å, α = 90.00°, β = 90.00° and γ = 90.00°. The asymmetric unit holds Nb at (0.000, 0.000, 0.000), N at (0.000, 0.500, 0.500), O at (0.500, 0.500, 0.000) and O at (0.500, 0.500, 0.500).



[12]
Entry from Alexandria via LeMat-Bulk: a geometry-optimized MgTl structure (GGA-PBEsol).

The calculation puts the density of states at the Fermi level at 1.8 states/eV per cell. For the formation energy, the calculation gives -0.059 eV per atom.

It has space group P6_3/mmc (No. 194), with a = 3.4266 Å, b = 3.4266 Å, c = 9.5945 Å, α = 90.00°, β = 90.00° and γ = 120.00°. The asymmetric unit holds Mg at (0.3333, 0.6667, 0.2500) and Tl at (0.0000, 0.0000, 0.0000).



[13]
Entry from Alexandria via LeMat-Bulk: a geometry-optimized ZrRe2Cl2 structure (GGA-PBEsol).

The uncorrected formation energy is 372 meV per atom. The calculation puts the density of states at the Fermi level at 4.8 states/eV per cell.

It has space group I4/mmm (No. 139), with a = 3.924 Å, b = 3.924 Å, c = 11.695 Å, α = 90.00°, β = 90.00° and γ = 90.00°. The asymmetric unit holds Zr at (0.000, 0.000, 0.000), Re at (0.000, 0.000, 0.402) and Cl at (0.000, 0.500, 0.250).



[14]
Entry from Alexandria via LeMat-Bulk: a geometry-optimized MoOs2 structure (GGA-PBEsol).

The calculation puts the density of states at the Fermi level at 8.0 states/eV per cell. For the formation energy, the calculation gives -0.021 eV per atom.

It has space group C2/m (No. 12), with a = 10.017 Å, b = 2.736 Å, c = 6.489 Å, α = 90.00°, β = 103.86° and γ = 90.00°. The asymmetric unit holds Mo at (0.030, 0.000, 0.304), Os at (0.142, 0.500, 0.027) and Os at (0.198, 0.500, 0.639).



[15]
Entry from Alexandria via LeMat-Bulk: a geometry-optimized Zr2TaAl structure (GGA-PBEsol).

The calculation puts the density of states at the Fermi level at 3.3 states/eV per cell. For the formation energy, the calculation gives -0.182 eV per atom.

It has space group Pmmm (No. 47), with a = 3.158 Å, b = 3.744 Å, c = 6.528 Å, α = 90.00°, β = 90.00° and γ = 90.00°. The asymmetric unit holds Zr at (0.000, 0.000, 0.245), Ta at (0.500, 0.500, 0.500) and Al at (0.500, 0.500, 0.000).



[16]
Entry from Alexandria via LeMat-Bulk: a geometry-optimized Ag2Br2F structure (GGA-PBEsol).

The uncorrected formation energy is -427 meV per atom. The calculation puts the density of states at the Fermi level at 7.4 states/eV per cell.

It has space group I4/mmm (No. 139), with a = 5.129 Å, b = 5.129 Å, c = 11.567 Å, α = 90.00°, β = 90.00° and γ = 90.00°. The asymmetric unit holds Ag at (0.000, 0.000, 0.186), Br at (0.000, 0.500, 0.250) and F at (0.000, 0.000, 0.000).



[17]
Entry from Alexandria via LeMat-Bulk: a geometry-optimized Ta2InCl structure (GGA-PBEsol).

The uncorrected formation energy is 112 meV per atom. The calculation puts the density of states at the Fermi level at 4.5 states/eV per cell.

It has space group Amm2 (No. 38), with a = 4.649 Å, b = 2.904 Å, c = 11.192 Å, α = 90.00°, β = 90.00° and γ = 90.00°. The asymmetric unit holds Ta at (0.000, 0.000, 0.000), Ta at (0.500, 0.000, 0.384), In at (0.500, 0.000, 0.642) and Cl at (0.000, 0.000, 0.320).



[18]
Entry from Alexandria via LeMat-Bulk: a geometry-optimized Ca2AuC structure (GGA-PBEsol).

The calculation puts the density of states at the Fermi level at 9.5 states/eV per cell. For the formation energy, the calculation gives 0.348 eV per atom.

It has space group I-42d (No. 122), with a = 7.105 Å, b = 7.105 Å, c = 7.142 Å, α = 90.00°, β = 90.00° and γ = 90.00°. The asymmetric unit holds Ca at (0.187, 0.750, 0.125), Au at (0.000, 0.000, 0.500) and C at (0.000, 0.000, 0.000).



[19]
Entry from Alexandria via LeMat-Bulk: a geometry-optimized TlHg4Pb structure (GGA-PBEsol).

The calculation puts the density of states at the Fermi level at 6.1 states/eV per cell. For the formation energy, the calculation gives 0.020 eV per atom.

It has space group F-43m (No. 216), with a = 8.457 Å, b = 8.457 Å, c = 8.457 Å, α = 90.00°, β = 90.00° and γ = 90.00°. The asymmetric unit holds Tl at (0.000, 0.000, 0.000), Hg at (0.125, 0.125, 0.375) and Pb at (0.250, 0.250, 0.750).



[20]
Entry from Alexandria via LeMat-Bulk: a geometry-optimized CoNiSe4 structure (GGA-PBEsol).

The uncorrected formation energy is -342 meV per atom. The calculation puts the density of states at the Fermi level at 8.4 states/eV per cell.

It has space group P2_1/c (No. 14), with a = 5.790 Å, b = 5.783 Å, c = 5.777 Å, α = 90.00°, β = 90.62° and γ = 90.00°. The asymmetric unit holds Co at (0.000, 0.000, 0.000), Ni at (0.500, 0.000, 0.500), Se at (0.123, 0.131, 0.632) and Se at (0.368, 0.625, 0.624).